Computed, not measured: Sm3PuTc8 after structural relaxation at the PBE level of DFT.

```
Sm3PuTc8
1.0
-0.604 4.969 2.008
-3.234 0.822 4.237
5.675 0.520 7.663
Tc Sm Pu
8 3 1
Direct
0.437 0.437 0.189
0.438 0.938 0.687
0.938 0.438 0.687
0.187 0.187 0.438
0.938 0.938 0.687
0.687 0.687 0.938
0.437 0.937 0.189
0.937 0.437 0.189
0.501 0.501 0.498
0.999 0.999 0.002
0.375 0.375 0.874
0.875 0.875 0.374
```

SG: R3m, No. 160
DOS(E_F) in states/eV/cell: 17.26
Crystal system: trigonal
Total magnetization in μB/f.u.: 5.68
Density in Mg/m³: 10.802
Uncorrected energy in eV/atom: -9.282